First-principles (GGA-PBE) data for LaYFeCo2 after structural relaxation, as listed in the Alexandria database.

Geometry as CIF:
```
data_LaYFeCo2
_cell_length_a 4.872
_cell_length_b 4.863
_cell_length_c 4.872
_cell_angle_alpha 90.00
_cell_angle_beta 90.00
_cell_angle_gamma 90.00
_space_group_name_H-M_alt 'P 1'
_space_group_IT_number 1
loop_
_space_group_symop_operation_xyz
'x,y,z'
loop_
_atom_site_label
_atom_site_fract_x
_atom_site_fract_y
_atom_site_fract_z
Y1 0.000 0.000 0.000
Co1 0.000 0.000 0.500
Co2 0.500 0.000 0.000
Fe1 0.000 0.500 0.000
La1 0.500 0.500 0.500
```

## Properties
- Energy of formation: 0.968 eV per atom
- Crystal system: tetragonal
- SG: P4/mmm, No. 123